[1]
The following is a DFT calculation (GGA-PBE) of Sb2Au2S after structural relaxation.

The structure in CIF format:
```
data_Sb2Au2S
_symmetry_space_group_name_H-M 'P 1'
_symmetry_Int_Tables_number 1
_symmetry_space_group_name_Hall 'P 1'
_cell_length_a 7.708
_cell_length_b 7.708
_cell_length_c 3.918
_cell_angle_alpha 90.00
_cell_angle_beta 90.00
_cell_angle_gamma 90.00
loop_
_atom_site_label
_atom_site_fract_x
_atom_site_fract_y
_atom_site_fract_z
Sb1 0.306 0.806 0.000
Sb2 0.806 0.694 0.000
Sb3 0.694 0.194 0.000
Sb4 0.194 0.306 0.000
S1 0.000 0.000 0.000
S2 0.500 0.500 0.000
Au1 0.126 0.626 0.500
Au2 0.626 0.874 0.500
Au3 0.874 0.374 0.500
Au4 0.374 0.126 0.500
```

Space-group type: No. 127
E_form (uncorrected) in eV per formula unit: 0.488
Distance to the lowest polymorph of the same formula in meV/atom: 0.0
DOS at the Fermi energy in states/eV per cell: 5.34
Electronic total energy in eV/atom: -3.69

***

[2]
The following is a DFT calculation (GGA-PBE) of SbAuS after structural relaxation.

The structure in CIF format:
```
data_SbAuS
_symmetry_space_group_name_H-M 'P 1'
_symmetry_Int_Tables_number 1
_symmetry_space_group_name_Hall 'P 1'
_cell_length_a 3.935
_cell_length_b 3.935
_cell_length_c 4.902
_cell_angle_alpha 90.00
_cell_angle_beta 90.00
_cell_angle_gamma 120.00
loop_
_atom_site_label
_atom_site_fract_x
_atom_site_fract_y
_atom_site_fract_z
Sb1 0.667 0.333 0.324
S1 0.333 0.667 0.687
Au1 0.000 0.000 0.990
```

Space-group type: No. 156
E_form (uncorrected) in eV per formula unit: -0.128
DOS at the Fermi energy in states/eV per cell: 1.22
Electronic total energy in eV/atom: -3.89

***

[3]
The following is a DFT calculation (GGA-PBE) of SbAu2S after structural relaxation.

The structure in CIF format:
```
data_SbAu2S
_symmetry_space_group_name_H-M 'P 1'
_symmetry_Int_Tables_number 1
_symmetry_space_group_name_Hall 'P 1'
_cell_length_a 3.651
_cell_length_b 3.651
_cell_length_c 8.724
_cell_angle_alpha 77.92
_cell_angle_beta 77.92
_cell_angle_gamma 60.00
loop_
_atom_site_label
_atom_site_fract_x
_atom_site_fract_y
_atom_site_fract_z
Sb1 0.500 0.500 0.500
S1 0.000 0.000 0.000
Au1 0.092 0.092 0.723
Au2 0.908 0.908 0.277
```

Space-group type: No. 166
E_form (uncorrected) in eV per formula unit: 1.243
DOS at the Fermi energy in states/eV per cell: 2.67
Electronic total energy in eV/atom: -3.39

***

[4]
The following is a DFT calculation (GGA-PBE) of Sb2AuS after structural relaxation.

The structure in CIF format:
```
data_Sb2AuS
_symmetry_space_group_name_H-M 'P 1'
_symmetry_Int_Tables_number 1
_symmetry_space_group_name_Hall 'P 1'
_cell_length_a 6.012
_cell_length_b 6.012
_cell_length_c 7.945
_cell_angle_alpha 67.77
_cell_angle_beta 67.77
_cell_angle_gamma 90.00
loop_
_atom_site_label
_atom_site_fract_x
_atom_site_fract_y
_atom_site_fract_z
Sb1 0.632 0.125 0.250
Sb2 0.118 0.625 0.250
Sb3 0.375 0.368 0.750
Sb4 0.875 0.882 0.750
S1 0.500 0.500 0.000
S2 0.250 0.750 0.500
Au1 0.000 0.000 0.000
Au2 0.750 0.250 0.500
```

Space-group type: No. 122
E_form (uncorrected) in eV per formula unit: 0.555
DOS at the Fermi energy in states/eV per cell: 3.74
Electronic total energy in eV/atom: -3.77

***

[5]
The following is a DFT calculation (GGA-PBE) of Sb3AuS after structural relaxation.

The structure in CIF format:
```
data_Sb3AuS
_symmetry_space_group_name_H-M 'P 1'
_symmetry_Int_Tables_number 1
_symmetry_space_group_name_Hall 'P 1'
_cell_length_a 4.302
_cell_length_b 8.898
_cell_length_c 6.901
_cell_angle_alpha 101.47
_cell_angle_beta 90.00
_cell_angle_gamma 90.00
loop_
_atom_site_label
_atom_site_fract_x
_atom_site_fract_y
_atom_site_fract_z
Sb1 0.750 0.625 0.445
Sb2 0.250 0.375 0.555
Sb3 0.750 0.370 0.033
Sb4 0.250 0.004 0.703
Sb5 0.250 0.630 0.967
Sb6 0.750 0.996 0.297
Au1 0.250 0.803 0.344
Au2 0.750 0.197 0.656
S1 0.250 0.249 0.178
S2 0.750 0.751 0.822
```

Space-group type: No. 11
E_form (uncorrected) in eV per formula unit: -0.149
Distance to the lowest polymorph of the same formula in meV/atom: 0.0
DOS at the Fermi energy in states/eV per cell: 3.23
Electronic total energy in eV/atom: -3.98

***

[6]
The following is a DFT calculation (GGA-PBE) of SbAu2S after structural relaxation.

The structure in CIF format:
```
data_SbAu2S
_symmetry_space_group_name_H-M 'P 1'
_symmetry_Int_Tables_number 1
_symmetry_space_group_name_Hall 'P 1'
_cell_length_a 6.513
_cell_length_b 6.513
_cell_length_c 6.612
_cell_angle_alpha 60.50
_cell_angle_beta 60.50
_cell_angle_gamma 90.00
loop_
_atom_site_label
_atom_site_fract_x
_atom_site_fract_y
_atom_site_fract_z
Sb1 0.000 0.000 0.000
Sb2 0.750 0.250 0.500
S1 0.500 0.500 0.000
S2 0.250 0.750 0.500
Au1 0.599 0.125 0.250
Au2 0.151 0.625 0.250
Au3 0.375 0.401 0.750
Au4 0.875 0.849 0.750
```

Space-group type: No. 122
E_form (uncorrected) in eV per formula unit: 0.439
DOS at the Fermi energy in states/eV per cell: 2.62
Electronic total energy in eV/atom: -3.59